Entry 1:
PBE Sc3TiPt3, optimized geometry; calculated total energy = -51.2 eV/f.u.; Fermi-level density of states = 11.2 states/eV/cell; density = 9.53 g cm⁻³; formation enthalpy at 0 K = -890 meV/atom
1.0
4.693 -4.533 0.000
4.693 4.533 0.000
-0.002 0.000 6.292
Sc Ti Pt
6 2 6
direct
0.215 0.785 0.000
0.242 0.242 0.500
0.257 0.743 0.500
0.743 0.257 0.500
0.758 0.758 0.500
0.785 0.215 0.000
0.255 0.255 0.000
0.745 0.745 0.000
0.000 0.500 0.241
0.000 0.500 0.759
0.499 0.499 0.770
0.500 0.000 0.241
0.500 0.000 0.759
0.501 0.501 0.230

---

Entry 2:
PBE YScTiPt2, optimized geometry; calculated total energy = -34.0 eV/f.u.; Fermi-level density of states = 3.5 states/eV/cell; density = 8.79 g cm⁻³; formation enthalpy at 0 K = -237 meV/atom
1.0
4.841 0.000 0.000
0.000 4.841 0.000
0.000 0.000 4.608
Y Sc Ti Pt
1 1 1 2
direct
0.000 0.000 0.000
0.500 0.500 0.000
0.500 0.500 0.500
0.000 0.500 0.500
0.500 0.000 0.500

---

Entry 3:
PBE ScTl3Pt, optimized geometry; calculated total energy = -14.9 eV/f.u.; Fermi-level density of states = 5.3 states/eV/cell; density = 8.45 g cm⁻³; relative energy among the computed polymorphs = 622 meV/atom; formation enthalpy at 0 K = 907 meV/atom
1.0
5.514 0.000 0.000
0.000 5.514 0.000
0.000 0.000 5.514
Sc Tl Pt
1 3 1
direct
0.000 0.000 0.000
0.000 0.000 0.500
0.000 0.500 0.000
0.500 0.000 0.000
0.500 0.500 0.500